[1]
This record from the Alexandria database describes a relaxed structure of TiZn3Cr. The functional is PBE.

a = 4.517 Å, b = 4.517 Å, c = 4.517 Å
α = 90.00°, β = 90.00°, γ = 90.00°
Space group Pm-3m (No. 221)
Asymmetric unit:
Ti  0.000  0.000  0.000
Zn  0.000  0.500  0.500
Cr  0.500  0.500  0.500

Properties
As for the relative energy among the computed polymorphs: 0.000 eV per atom.

=====

[2]
This record from the Alexandria database describes a relaxed structure of TiZnCr3. The functional is PBE.

a = 4.600 Å, b = 4.600 Å, c = 4.600 Å
α = 90.00°, β = 90.00°, γ = 90.00°
Space group Pm-3m (No. 221)
Asymmetric unit:
Ti  0.000  0.000  0.000
Zn  0.500  0.500  0.500
Cr  0.000  0.500  0.500

=====

[3]
This record from the Alexandria database describes a relaxed structure of TiZnCr. The functional is PBE.

a = 3.143 Å, b = 3.143 Å, c = 8.892 Å
α = 90.00°, β = 90.00°, γ = 90.00°
Space group I4mm (No. 107)
Asymmetric unit:
Ti  0.000  0.000  0.000
Zn  0.000  0.000  0.320
Cr  0.000  0.000  0.658

=====

[4]
This record from the Alexandria database describes a relaxed structure of TiZnCr2. The functional is PBE.

a = 6.720 Å, b = 6.720 Å, c = 5.069 Å
α = 90.00°, β = 90.00°, γ = 90.00°
Space group I-42d (No. 122)
Asymmetric unit:
Ti  0.000  0.000  0.000
Zn  0.000  0.000  0.500
Cr  0.244  0.250  0.625

=====

[5]
This record from the Alexandria database describes a relaxed structure of Ti2ZnCr. The functional is PBE.

a = 3.102 Å, b = 3.102 Å, c = 6.171 Å
α = 90.00°, β = 90.00°, γ = 90.00°
Space group P4/mmm (No. 123)
Asymmetric unit:
Ti  0.000  0.000  0.227
Zn  0.500  0.500  0.500
Cr  0.500  0.500  0.000

=====

[6]
This record from the Alexandria database describes a relaxed structure of Ti2ZnCr. The functional is PBE.

a = 3.682 Å, b = 3.682 Å, c = 18.497 Å
α = 90.00°, β = 90.00°, γ = 90.00°
Space group I-42d (No. 122)
Asymmetric unit:
Ti  0.240  0.250  0.125
Zn  0.000  0.000  0.500
Cr  0.000  0.000  0.000

=====

Result set for formation energy: 87.4; 127.6; 2.8; 66.6; -12.0; 51.5 kJ/mol of atoms, one per record in the order listed.
Result set for total energy: -3.362; -6.286; -6.235; -6.413; -6.796; -6.138 eV/atom, one per record in the order listed.